First-principles (SCAN) data for a crystal of NbCoOs3 relaxed with PBEsol, as listed in Alexandria. Values from VASP.

VASP energy (eV/f.u.): -253.01
DFT formation energy (eV/atom): 2.6121

Cell and atoms, written as Quantum ESPRESSO input:
```
&SYSTEM
  ibrav = 0, nat = 5, ntyp = 3
/
ATOMIC_SPECIES
Nb 92.91 Nb.upf
Co 58.93 Co.upf
Os 190.23 Os.upf
ATOMIC_POSITIONS crystal
Nb 0.0000 0.0000 0.0000
Co 0.5000 0.5000 0.5000
Os 0.0000 0.0000 0.5000
Os 0.0000 0.5000 0.0000
Os 0.5000 0.0000 0.0000
CELL_PARAMETERS angstrom
4.6605 0.0000 0.0000
0.0000 4.6605 0.0000
0.0000 0.0000 4.6605
```

First-principles (SCAN) data for a crystal of Nb2Co2Os relaxed with PBEsol, as listed in Alexandria. Values from VASP.

VASP energy (eV/f.u.): -173.04
DFT formation energy (eV/atom): -0.0586

Cell and atoms, written as Quantum ESPRESSO input:
```
&SYSTEM
  ibrav = 0, nat = 10, ntyp = 3
/
ATOMIC_SPECIES
Nb 92.91 Nb.upf
Co 58.93 Co.upf
Os 190.23 Os.upf
ATOMIC_POSITIONS crystal
Nb 0.1799 0.3201 0.0000
Nb 0.3201 0.8201 0.0000
Nb 0.6799 0.1799 0.0000
Nb 0.8201 0.6799 0.0000
Co 0.1223 0.6223 0.5000
Co 0.3777 0.1223 0.5000
Co 0.6223 0.8777 0.5000
Co 0.8777 0.3777 0.5000
Os 0.0000 0.0000 0.5000
Os 0.5000 0.5000 0.5000
CELL_PARAMETERS angstrom
6.6213 0.0000 0.0000
0.0000 6.6213 0.0000
0.0000 0.0000 3.1441
```

First-principles (SCAN) data for a crystal of RbNbCoOs2 relaxed with PBEsol, as listed in Alexandria. Values from VASP.

VASP energy (eV/f.u.): -202.70
DFT formation energy (eV/atom): 2.4469

Cell and atoms, written as Quantum ESPRESSO input:
```
&SYSTEM
  ibrav = 0, nat = 5, ntyp = 4
/
ATOMIC_SPECIES
Rb 85.47 Rb.upf
Nb 92.91 Nb.upf
Co 58.93 Co.upf
Os 190.23 Os.upf
ATOMIC_POSITIONS crystal
Rb 0.0000 0.0000 0.0000
Nb 0.0000 0.0000 0.5000
Co 0.5000 0.5000 0.0000
Os 0.0000 0.5000 0.5000
Os 0.5000 0.0000 0.5000
CELL_PARAMETERS angstrom
4.7275 0.0000 0.0000
0.0000 4.7275 0.0000
0.0000 0.0000 5.4086
```